# 1
# Sm2Ho2Rh3

Sm2Ho2Rh3 after structural relaxation (PBE-GGA, Alexandria).

Properties
Magnetic moment   0.00 Bohr magnetons per cell
Energy relative to the lowest polymorph listed for this composition   0.75 eV/f.u.
Theoretical density   8.74 g/cm3
Formation energy from the elements   -0.643 eV per atom

Cell lengths 4.395, 5.958, 7.445 Å; angles 99.44, 90.08, 111.64 degrees
Space group P-1 (No. 2)
One atom of each set of equivalent atoms:
Sm: 0.134 0.266 0.355 x2
Ho: 0.363 0.725 0.073 x2
Rh: 0.000 0.000 0.000 x1
Rh: 0.193 0.389 0.734 x2



# 2
# LaHg4Ru

LaHg4Ru after structural relaxation (PBE-GGA, Alexandria).

Properties
Magnetic moment   2.36 Bohr magnetons per cell
Theoretical density   12.57 g/cm3
Formation energy from the elements   0.149 eV per atom

Cell lengths 8.197, 8.197, 8.197 Å; angles 90.00, 90.00, 90.00 degrees
Space group F-43m (No. 216)
One atom of each set of equivalent atoms:
La: 0.000 0.000 0.000 x4
Hg: 0.124 0.124 0.376 x16
Ru: 0.250 0.250 0.750 x4



# 3
# Tm3HfCu4

Tm3HfCu4 after structural relaxation (PBE-GGA, Alexandria).

Properties
Magnetic moment   0.00 Bohr magnetons per cell
Theoretical density   10.18 g/cm3
Formation energy from the elements   -0.221 eV per atom

Cell lengths 3.354, 4.772, 9.578 Å; angles 90.00, 90.00, 90.00 degrees
Space group Pmmm (No. 47)
One atom of each set of equivalent atoms:
Tm: 0.000 0.000 0.000 x1
Tm: 0.000 0.500 0.252 x2
Hf: 0.000 0.000 0.500 x1
Cu: 0.500 0.000 0.269 x2
Cu: 0.500 0.500 0.000 x1
Cu: 0.500 0.500 0.500 x1